Density functional theory data (PBE) for TbHo4Tm8 after structural relaxation.

Lattice parameters (Å, degrees): 7.1939 7.1939 9.8226 90.00 111.48 120.00
Fractional positions:
Tb1 0.0000 0.5000 0.5000
Ho1 0.0000 0.0000 0.0000
Ho2 0.0000 0.5000 0.0000
Ho3 0.5000 0.5000 0.0000
Ho4 0.5000 0.0000 0.0000
Tm1 0.5661 0.7830 0.3491
Tm2 0.4339 0.2170 0.6509
Tm3 0.4993 0.2496 0.3052
Tm4 0.9444 0.1940 0.6948
Tm5 0.5007 0.7504 0.6948
Tm6 0.9444 0.7504 0.6948
Tm7 0.0556 0.2496 0.3052
Tm8 0.0556 0.8060 0.3052

Computed properties:
M_tot ... 0.0000 μB per atom
ΔE_f ... 22.1 kJ per mole of atoms
Symmetry ... No. 166
VASP energy ... -55.7 eV per cell

=====

Density functional theory data (PBE) for Tb8Ho3Tm2 after structural relaxation.

Lattice parameters (Å, degrees): 5.5980 7.6146 10.6729 110.90 90.02 90.00
Fractional positions:
Tb1 0.0006 0.6696 0.3393
Tb2 0.9994 0.3304 0.6607
Tb3 0.9998 0.1329 0.2658
Tb4 0.0002 0.8671 0.7342
Tb5 0.4998 0.6017 0.7842
Tb6 0.4998 0.1825 0.7842
Tb7 0.5002 0.8175 0.2158
Tb8 0.5002 0.3983 0.2158
Ho1 0.5000 0.0000 0.0000
Ho2 0.0000 0.2858 0.0000
Ho3 0.0000 0.7142 0.0000
Tm1 0.4993 0.2410 0.4819
Tm2 0.5007 0.7590 0.5181

Computed properties:
M_tot ... 0.0000 μB per atom
ΔE_f ... 22.0 kJ per mole of atoms
Symmetry ... No. 12
VASP energy ... -56.8 eV per cell

=====

Density functional theory data (PBE) for Tb4Ho7Tm after structural relaxation.

Lattice parameters (Å, degrees): 6.7343 6.4503 11.6225 75.18 50.47 82.06
Fractional positions:
Tb1 0.5242 0.6395 0.2837
Tb2 0.4758 0.3605 0.7163
Tb3 0.6912 0.8404 0.6914
Tb4 0.3088 0.1596 0.3086
Ho1 0.8038 0.5132 0.9484
Ho2 0.1962 0.4868 0.0516
Ho3 0.0594 0.3143 0.6410
Ho4 0.9406 0.6857 0.3590
Ho5 0.2803 0.8089 0.6132
Ho6 0.5000 0.0000 0.0000
Ho7 0.7197 0.1911 0.3868
Tm1 0.0000 0.0000 0.0000

Computed properties:
M_tot ... 0.0000 μB per atom
ΔE_f ... 8.7 kJ per mole of atoms
Symmetry ... No. 2
VASP energy ... -54.0 eV per cell

=====

Density functional theory data (PBE) for TbHo7Tm5 after structural relaxation.

Lattice parameters (Å, degrees): 6.6020 8.5917 8.5916 80.14 67.41 67.41
Fractional positions:
Tb1 0.9633 0.0367 0.0367
Ho1 0.5776 0.4224 0.4224
Ho2 0.2703 0.7297 0.7297
Ho3 0.0185 0.3099 0.6530
Ho4 0.0185 0.6530 0.3099
Ho5 0.2687 0.2313 0.2313
Ho6 0.5194 0.8086 0.1526
Ho7 0.5194 0.1526 0.8086
Tm1 0.5351 0.0027 0.4594
Tm2 0.0028 0.0027 0.4594
Tm3 0.5351 0.4594 0.0027
Tm4 0.0028 0.4594 0.0027
Tm5 0.7686 0.7314 0.7314

Computed properties:
M_tot ... 0.0004 μB per atom
ΔE_f ... 25.0 kJ per mole of atoms
Symmetry ... No. 44
VASP energy ... -55.7 eV per cell

=====

Density functional theory data (PBE) for Tb2Ho8Tm3 after structural relaxation.

Lattice parameters (Å, degrees): 5.5220 7.5161 10.7880 110.39 90.01 90.00
Fractional positions:
Tb1 0.4996 0.2412 0.4824
Tb2 0.5004 0.7588 0.5176
Ho1 0.0003 0.6650 0.3299
Ho2 0.9997 0.3350 0.6701
Ho3 0.9999 0.1315 0.2630
Ho4 0.0001 0.8685 0.7370
Ho5 0.4999 0.6051 0.7853
Ho6 0.4999 0.1802 0.7853
Ho7 0.5001 0.8198 0.2147
Ho8 0.5001 0.3949 0.2147
Tm1 0.5000 0.0000 0.0000
Tm2 0.0000 0.2836 0.0000
Tm3 0.0000 0.7164 0.0000

Computed properties:
M_tot ... 0.0000 μB per atom
ΔE_f ... 23.0 kJ per mole of atoms
Symmetry ... No. 65
VASP energy ... -56.2 eV per cell

=====

Density functional theory data (PBE) for Tb12Ho5Tm after structural relaxation.

Lattice parameters (Å, degrees): 14.9996 10.6066 5.0037 90.00 89.99 45.09
Fractional positions:
Tb1 0.8341 0.0000 0.5000
Tb2 0.1659 0.0000 0.5000
Tb3 0.6664 0.0000 0.0000
Tb4 0.3336 0.0000 0.0000
Tb5 0.3326 0.6669 0.0000
Tb6 0.0005 0.6670 0.0000
Tb7 0.9995 0.3331 0.0000
Tb8 0.6674 0.3331 0.0000
Tb9 0.4997 0.3334 0.5000
Tb10 0.8331 0.6666 0.5000
Tb11 0.1669 0.3334 0.5000
Tb12 0.5003 0.6666 0.5000
Ho1 0.5000 0.0000 0.5000
Ho2 0.1665 0.6671 0.5000
Ho3 0.8336 0.3329 0.5000
Ho4 0.6667 0.6667 0.0000
Ho5 0.3333 0.3334 0.0000
Tm1 0.0000 0.0000 0.0000

Computed properties:
M_tot ... 0.0000 μB per atom
ΔE_f ... 1.7 kJ per mole of atoms
Symmetry ... No. 10
VASP energy ... -82.6 eV per cell

=====

Density functional theory data (PBE) for Tb6Ho7Tm16 after structural relaxation.

Lattice parameters (Å, degrees): 10.9810 10.9810 10.9810 60.00 60.00 60.00
Fractional positions:
Tb1 0.2810 0.7190 0.2810
Tb2 0.7190 0.2810 0.7190
Tb3 0.7190 0.2810 0.2810
Tb4 0.2810 0.7190 0.7190
Tb5 0.7190 0.7190 0.2810
Tb6 0.2810 0.2810 0.7190
Ho1 0.0000 0.0000 0.0000
Ho2 0.5000 0.0000 0.5000
Ho3 0.0000 0.5000 0.0000
Ho4 0.0000 0.5000 0.5000
Ho5 0.5000 0.0000 0.0000
Ho6 0.0000 0.0000 0.5000
Ho7 0.5000 0.5000 0.0000
Tm1 0.8774 0.8774 0.3677
Tm2 0.8774 0.8774 0.8774
Tm3 0.8774 0.3677 0.8774
Tm4 0.3677 0.8774 0.8774
Tm5 0.1226 0.1226 0.1226
Tm6 0.1226 0.1226 0.6323
Tm7 0.1226 0.6323 0.1226
Tm8 0.6323 0.1226 0.1226
Tm9 0.6531 0.6531 0.0407
Tm10 0.6531 0.6531 0.6531
Tm11 0.6531 0.0407 0.6531
Tm12 0.0407 0.6531 0.6531
Tm13 0.3469 0.3469 0.3469
Tm14 0.3469 0.3469 0.9593
Tm15 0.3469 0.9593 0.3469
Tm16 0.9593 0.3469 0.3469

Computed properties:
M_tot ... 0.2439 μB per atom
ΔE_f ... 24.4 kJ per mole of atoms
Symmetry ... No. 225
VASP energy ... -124.0 eV per cell

=====

Density functional theory data (PBE) for Tb3Ho4Tm8 after structural relaxation.

Lattice parameters (Å, degrees): 11.3886 9.1693 9.1693 88.19 128.37 128.37
Fractional positions:
Tb1 0.5000 0.5000 0.0000
Tb2 0.5000 0.0000 0.5000
Tb3 0.5000 0.5000 0.5000
Ho1 0.5000 0.0000 0.0000
Ho2 0.0000 0.5000 0.0000
Ho3 0.0000 0.0000 0.0000
Ho4 0.0000 0.0000 0.5000
Tm1 0.5298 0.2630 0.2630
Tm2 0.0000 0.6382 0.3618
Tm3 0.9917 0.2567 0.2567
Tm4 0.5000 0.7526 0.2474
Tm5 0.5000 0.2474 0.7526
Tm6 0.0083 0.7433 0.7433
Tm7 0.0000 0.3618 0.6382
Tm8 0.4702 0.7370 0.7370

Computed properties:
M_tot ... 0.0004 μB per atom
ΔE_f ... 39.7 kJ per mole of atoms
Symmetry ... No. 12
Relative energy among the computed polymorphs ... 25.4 kJ/mol of atoms
VASP energy ... -61.8 eV per cell

=====

Density functional theory data (PBE) for Tb3Ho2Tm3 after structural relaxation.

Lattice parameters (Å, degrees): 6.3759 6.3759 6.3759 84.41 84.41 95.59
Fractional positions:
Tb1 0.2888 0.7112 0.0000
Tb2 0.0000 0.2888 0.2888
Tb3 0.7112 0.0000 0.7112
Ho1 0.3069 0.3069 0.6931
Ho2 0.6931 0.6931 0.3069
Tm1 0.1889 0.8111 0.5000
Tm2 0.5000 0.1889 0.1889
Tm3 0.8111 0.5000 0.8111

Computed properties:
M_tot ... 0.0000 μB per atom
ΔE_f ... 13.3 kJ per mole of atoms
Symmetry ... No. 155
Relative energy among the computed polymorphs ... 3.7 kJ/mol of atoms
VASP energy ... -35.4 eV per cell

=====

Density functional theory data (PBE) for Tb3Ho5Tm2 after structural relaxation.

Lattice parameters (Å, degrees): 9.4055 9.3767 10.9934 125.60 125.66 68.66
Fractional positions:
Tb1 0.2329 0.9829 0.9657
Tb2 0.7671 0.0171 0.0343
Tb3 0.7339 0.4753 0.2549
Tb4 0.2661 0.5247 0.7451
Tb5 0.0210 0.7795 0.2549
Tb6 0.9790 0.2205 0.7451
Ho1 0.2708 0.5208 0.0415
Ho2 0.7292 0.4792 0.9585
Ho3 0.0280 0.7780 0.5559
Ho4 0.5307 0.2807 0.5614
Ho5 0.9720 0.2220 0.4441
Ho6 0.4693 0.7193 0.4386
Ho7 0.8511 0.6034 0.7242
Ho8 0.1489 0.3966 0.2758
Ho9 0.3731 0.1207 0.7242
Ho10 0.6269 0.8793 0.2758
Tm1 0.7719 0.0127 0.7369
Tm2 0.2281 0.9873 0.2631
Tm3 0.4649 0.7242 0.7369
Tm4 0.5351 0.2758 0.2631

Computed properties:
M_tot ... 0.0000 μB per atom
ΔE_f ... 19.6 kJ per mole of atoms
Symmetry ... No. 15
Relative energy among the computed polymorphs ... 0.0 kJ/mol of atoms
VASP energy ... -87.4 eV per cell

=====

Density functional theory data (PBE) for TbHo8Tm6 after structural relaxation.

Lattice parameters (Å, degrees): 8.9078 8.9078 8.5099 58.44 58.44 60.00
Fractional positions:
Tb1 0.0000 0.0000 0.0000
Ho1 0.2556 0.2798 0.5746
Ho2 0.7202 0.1100 0.4254
Ho3 0.1100 0.7444 0.4254
Ho4 0.5766 0.5766 0.2703
Ho5 0.4234 0.4234 0.7297
Ho6 0.8900 0.2556 0.5746
Ho7 0.2798 0.8900 0.5746
Ho8 0.7444 0.7202 0.4254
Tm1 0.4602 0.8916 0.8799
Tm2 0.1084 0.2317 0.1201
Tm3 0.2317 0.5398 0.1201
Tm4 0.7683 0.4602 0.8799
Tm5 0.8916 0.7683 0.8799
Tm6 0.5398 0.1084 0.1201

Computed properties:
M_tot ... 0.0000 μB per atom
ΔE_f ... 13.1 kJ per mole of atoms
Symmetry ... No. 148
VASP energy ... -66.1 eV per cell

=====

Density functional theory data (PBE) for Tb2Ho5Tm12 after structural relaxation.

Lattice parameters (Å, degrees): 9.0965 9.0039 8.3803 91.03 90.00 120.34
Fractional positions:
Tb1 0.6810 0.0000 0.0000
Tb2 0.3190 0.0000 0.0000
Ho1 0.2328 0.4655 0.5755
Ho2 0.3017 0.6033 0.9914
Ho3 0.0000 0.0000 0.5000
Ho4 0.6983 0.3967 0.0086
Ho5 0.7672 0.5345 0.4245
Tm1 0.9084 0.8167 0.1161
Tm2 0.0260 0.6892 0.7554
Tm3 0.6633 0.6892 0.7554
Tm4 0.1808 0.7463 0.3425
Tm5 0.5655 0.7463 0.3425
Tm6 0.4432 0.8865 0.6688
Tm7 0.5568 0.1135 0.3312
Tm8 0.8192 0.2537 0.6575
Tm9 0.4345 0.2537 0.6575
Tm10 0.9740 0.3108 0.2446
Tm11 0.3367 0.3108 0.2446
Tm12 0.0916 0.1833 0.8839

Computed properties:
M_tot ... 0.0001 μB per atom
ΔE_f ... 12.5 kJ per mole of atoms
Symmetry ... No. 12
Relative energy among the computed polymorphs ... 10.1 kJ/mol of atoms
VASP energy ... -83.3 eV per cell

=====

Density functional theory data (PBE) for Tb12HoTm3 after structural relaxation.

Lattice parameters (Å, degrees): 5.0042 5.0042 20.0043 90.00 90.00 90.00
Fractional positions:
Tb1 0.5000 0.5000 0.0000
Tb2 0.5000 0.5000 0.2504
Tb3 0.5000 0.5000 0.5000
Tb4 0.5000 0.5000 0.7496
Tb5 0.5000 0.0000 0.1255
Tb6 0.5000 0.0000 0.3751
Tb7 0.5000 0.0000 0.6249
Tb8 0.5000 0.0000 0.8745
Tb9 0.0000 0.5000 0.1255
Tb10 0.0000 0.5000 0.3751
Tb11 0.0000 0.5000 0.6249
Tb12 0.0000 0.5000 0.8745
Ho1 0.0000 0.0000 0.0000
Tm1 0.0000 0.0000 0.2503
Tm2 0.0000 0.0000 0.5000
Tm3 0.0000 0.0000 0.7497

Computed properties:
M_tot ... 0.0000 μB per atom
ΔE_f ... 1.8 kJ per mole of atoms
Symmetry ... No. 123
VASP energy ... -73.3 eV per cell

=====

Density functional theory data (PBE) for TbHo7Tm4 after structural relaxation.

Lattice parameters (Å, degrees): 3.5086 3.5086 34.2979 90.00 90.00 120.00
Fractional positions:
Tb1 0.0000 0.0000 0.5000
Ho1 0.0000 0.0000 0.0000
Ho2 0.6667 0.3333 0.5844
Ho3 0.3333 0.6667 0.4156
Ho4 0.6667 0.3333 0.8342
Ho5 0.3333 0.6667 0.1658
Ho6 0.0000 0.0000 0.2496
Ho7 0.0000 0.0000 0.7504
Tm1 0.6667 0.3333 0.0829
Tm2 0.3333 0.6667 0.9171
Tm3 0.6667 0.3333 0.3327
Tm4 0.3333 0.6667 0.6673

Computed properties:
M_tot ... 0.0000 μB per atom
ΔE_f ... 2.3 kJ per mole of atoms
Symmetry ... No. 164
Relative energy among the computed polymorphs ... 0.0 kJ/mol of atoms
VASP energy ... -54.3 eV per cell

=====

Density functional theory data (PBE) for Tb4Ho4Tm3 after structural relaxation.

Lattice parameters (Å, degrees): 3.5549 9.2448 11.7442 113.18 98.70 90.00
Fractional positions:
Tb1 0.7411 0.2412 0.4823
Tb2 0.2589 0.7588 0.5177
Tb3 0.5000 0.8151 0.0000
Tb4 0.5000 0.1849 0.0000
Ho1 0.6430 0.4643 0.2860
Ho2 0.3570 0.1783 0.7140
Ho3 0.3570 0.5357 0.7140
Ho4 0.6430 0.8217 0.2860
Tm1 0.8915 0.8915 0.7831
Tm2 0.1085 0.1085 0.2169
Tm3 0.0000 0.5000 0.0000

Computed properties:
M_tot ... 0.0000 μB per atom
ΔE_f ... 12.6 kJ per mole of atoms
Symmetry ... No. 71
Relative energy among the computed polymorphs ... 7.0 kJ/mol of atoms
VASP energy ... -48.8 eV per cell

=====

Density functional theory data (PBE) for Tb7Ho2Tm after structural relaxation.

Lattice parameters (Å, degrees): 5.4176 8.8427 9.4355 117.90 73.34 127.79
Fractional positions:
Tb1 0.9999 0.8007 0.6025
Tb2 0.0001 0.1993 0.3975
Tb3 0.2507 0.6414 0.7822
Tb4 0.7493 0.3586 0.2178
Tb5 0.2507 0.8598 0.2178
Tb6 0.7493 0.1402 0.7822
Tb7 0.5000 0.5000 0.0000
Ho1 0.5006 0.7001 0.3991
Ho2 0.4994 0.2999 0.6009
Tm1 0.0000 0.0000 0.0000

Computed properties:
M_tot ... 0.0000 μB per atom
ΔE_f ... 5.1 kJ per mole of atoms
Symmetry ... No. 71
Relative energy among the computed polymorphs ... 0.0 kJ/mol of atoms
VASP energy ... -45.5 eV per cell

=====

Density functional theory data (PBE) for Tb2Ho7Tm after structural relaxation.

Lattice parameters (Å, degrees): 5.0456 9.6775 9.6775 127.29 90.00 90.00
Fractional positions:
Tb1 0.5000 0.7014 0.2986
Tb2 0.5000 0.2986 0.7014
Ho1 0.0000 0.8067 0.1933
Ho2 0.0000 0.1933 0.8067
Ho3 0.5000 0.0743 0.2859
Ho4 0.5000 0.9257 0.7141
Ho5 0.5000 0.2859 0.0743
Ho6 0.5000 0.7141 0.9257
Ho7 0.5000 0.5000 0.5000
Tm1 0.0000 0.0000 0.0000

Computed properties:
M_tot ... 0.0000 μB per atom
ΔE_f ... 67.3 kJ per mole of atoms
Symmetry ... No. 65
Relative energy among the computed polymorphs ... 65.3 kJ/mol of atoms
VASP energy ... -38.8 eV per cell

=====

Density functional theory data (PBE) for TbHoTm2 after structural relaxation.

Lattice parameters (Å, degrees): 4.9518 4.9664 4.9664 90.00 90.00 90.00
Fractional positions:
Tm1 0.0000 0.0000 0.5000
Tm2 0.0000 0.5000 0.0000
Tb1 0.5000 0.5000 0.5000
Ho1 0.5000 0.0000 0.0000

Computed properties:
M_tot ... 0.0000 μB per atom
ΔE_f ... 2.3 kJ per mole of atoms
Symmetry ... No. 123
Relative energy among the computed polymorphs ... 1.9 kJ/mol of atoms
VASP energy ... -18.1 eV per cell

=====

Density functional theory data (PBE) for Tb3Ho2Tm4 after structural relaxation.

Lattice parameters (Å, degrees): 6.0241 11.1114 11.1114 61.87 62.47 62.47
Fractional positions:
Tb1 0.7559 0.0681 0.2638
Tb2 0.7441 0.7362 0.9319
Tb3 0.2441 0.9319 0.7362
Tb4 0.2559 0.2638 0.0681
Tb5 0.2500 0.5977 0.4023
Tb6 0.7500 0.4023 0.5977
Ho1 0.4227 0.2383 0.5194
Ho2 0.0773 0.4806 0.7617
Ho3 0.5773 0.7617 0.4806
Ho4 0.9227 0.5194 0.2383
Tm1 0.4225 0.9064 0.1863
Tm2 0.0775 0.8137 0.0936
Tm3 0.5775 0.0936 0.8137
Tm4 0.9225 0.1863 0.9064
Tm5 0.0807 0.1462 0.4250
Tm6 0.4193 0.5750 0.8538
Tm7 0.9193 0.8538 0.5750
Tm8 0.5807 0.4250 0.1462

Computed properties:
M_tot ... 0.0000 μB per atom
ΔE_f ... 10.2 kJ per mole of atoms
Symmetry ... No. 15
Relative energy among the computed polymorphs ... 0.0 kJ/mol of atoms
VASP energy ... -80.0 eV per cell